# 1
The following is a GGA-PBE calculation of crystalline ScSn2As2Pd7 at its relaxed geometry, from the Alexandria database.

a b c (Å): 5.5851 5.6304 14.6915
angles (deg): 90.00 95.04 90.00
Space group C2/m (No. 12)
Symmetry-distinct sites (fractional):
Sc: 0.0000 0.0000 0.0000 [2 per cell]
Sn: 0.1269 0.0000 0.4102 [4 per cell]
As: 0.0574 0.5000 0.2428 [4 per cell]
Pd: 0.0000 0.5000 0.0000 [2 per cell]
Pd: 0.1136 0.5000 0.4130 [4 per cell]
Pd: 0.2169 0.2502 0.8593 [8 per cell]

---

# 2
The following is a GGA-PBE calculation of crystalline Sr2ScAs4Pd3 at its relaxed geometry, from the Alexandria database.

a b c (Å): 4.3824 4.3824 11.0583
angles (deg): 90.00 90.00 90.00
Space group P-4m2 (No. 115)
Symmetry-distinct sites (fractional):
Sr: 0.0000 0.5000 0.2374 [2 per cell]
Sc: 0.0000 0.0000 0.5000 [1 per cell]
As: 0.0000 0.0000 0.0000 [1 per cell]
As: 0.0000 0.5000 0.6422 [2 per cell]
As: 0.5000 0.5000 0.0000 [1 per cell]
Pd: 0.0000 0.5000 0.8781 [2 per cell]
Pd: 0.5000 0.5000 0.5000 [1 per cell]

---

# 3
The following is a GGA-PBE calculation of crystalline ScTaAsPd2 at its relaxed geometry, from the Alexandria database.

a b c (Å): 4.6341 4.6341 4.8138
angles (deg): 90.00 90.00 90.00
Space group P4/mmm (No. 123)
Symmetry-distinct sites (fractional):
Sc: 0.0000 0.0000 0.0000 [1 per cell]
Ta: 0.5000 0.5000 0.0000 [1 per cell]
As: 0.5000 0.5000 0.5000 [1 per cell]
Pd: 0.0000 0.5000 0.5000 [2 per cell]

---

# 4
The following is a GGA-PBE calculation of crystalline ScTc2AsPd at its relaxed geometry, from the Alexandria database.

a b c (Å): 4.5137 4.5137 4.8875
angles (deg): 90.00 90.00 90.00
Space group P4/mmm (No. 123)
Symmetry-distinct sites (fractional):
Sc: 0.0000 0.0000 0.0000 [1 per cell]
Tc: 0.0000 0.5000 0.5000 [2 per cell]
As: 0.0000 0.0000 0.5000 [1 per cell]
Pd: 0.5000 0.5000 0.0000 [1 per cell]

---

no.,DFT total energy (eV per atom),DFT formation energy (eV per atom)
1,-5.50,-0.4989
2,-5.31,-0.9179
3,-6.58,0.0622
4,-6.76,0.6215